First-principles (PBE+U) data for a relaxed structure of LaCrO2F, as listed in Alexandria.

The calculation puts the volume at 96.6 Å³ per cell. The density of states at the Fermi level comes out at 5.27 states/eV/cell. The total moment comes out at 4.5 μB per formula unit. Its final energy is -33.4 eV per cell.

The structure belongs to space group P4/mmm (No. 123); the cell edges are 4.5556, 4.5556 and 4.6542 Å and the angles 90.00°, 90.00° and 90.00°. Symmetry generates all atoms from La at (0.0000, 0.0000, 0.0000), Cr at (0.5000, 0.5000, 0.5000), O at (0.0000, 0.5000, 0.0000) and F at (0.0000, 0.0000, 0.5000).